This record from Alexandria via LeMat-Bulk describes a relaxed structure of Tm3Th5Se8. The functional is PBE.

Results
- crystal system = trigonal
- formation energy without anion corrections (eV/atom) = -1.58

extended XYZ file:
```
16
Lattice="-6.261 -0.688 5.004 0.648 2.498 7.620 -4.133 7.101 2.271" Properties=species:S:1:pos:R:3 pbc="T T T"
Tm -5.197 3.207 3.638
Tm -2.067 3.550 1.135
Tm -1.743 4.799 4.945
Th -3.130 -0.344 2.502
Th -2.806 0.905 6.312
Th 0.000 0.000 0.000
Th 0.324 1.249 3.810
Th -4.873 4.455 7.447
Se -4.441 5.669 4.828
Se -4.107 6.954 8.749
Se -7.663 5.315 7.403
Se -7.261 6.544 11.212
Se -5.305 3.242 10.067
Se -5.639 1.957 6.146
Se -2.083 3.596 7.492
Se -2.485 2.367 3.682
```



This record from Alexandria via LeMat-Bulk describes a relaxed structure of MgBe2V2. The functional is PBE.

Results
- crystal system = tetragonal
- E_form (eV per atom) = 0.193

extended XYZ file:
```
10
Lattice="-4.774 3.394 2.919 -3.191 -5.573 1.263 1.399 -0.224 2.548" Properties=species:S:1:pos:R:3 pbc="T T T"
Be -4.667 -3.626 2.244
Be -6.188 -0.417 3.361
Be -3.297 1.448 1.938
Be -1.776 -1.761 0.821
Mg 0.000 0.000 0.000
Mg -3.982 -1.089 2.091
V -2.286 -3.278 2.635
V -5.154 -2.422 4.285
V -4.279 0.877 4.094
V -1.411 0.020 2.444
```



This record from Alexandria via LeMat-Bulk describes a relaxed structure of Ce2PrMoN5. The functional is PBE.

Results
- crystal system = tetragonal
- formation energy without anion corrections (eV/atom) = -1.15

extended XYZ file:
```
18
Lattice="-4.579 1.697 -4.615 4.240 -1.831 -4.880 -1.982 -5.323 4.901" Properties=species:S:1:pos:R:3 pbc="T T T"
Ce 0.593 -0.305 -2.394
Ce -2.348 0.825 -3.952
Ce 2.009 -0.960 -5.544
Ce -0.932 0.170 -7.101
Pr -1.076 -2.695 0.077
Pr -1.245 -2.762 -4.671
Mo 1.044 -3.611 -2.363
Mo -3.365 -1.847 -2.231
N -3.034 -0.769 -5.561
N -3.763 -2.951 -0.749
N 0.713 -4.689 0.966
N -2.298 -3.443 2.508
N -0.752 -4.197 -2.291
N -0.023 -2.015 -7.103
N -1.570 -1.261 -2.304
N 1.441 -2.507 -3.846
N -0.169 -0.067 -4.748
N 0.000 0.000 0.000
```



| no. | magnetic moment (Bohr magnetons per cell) |
| --- | --- |
| 1 | 0.0 |
| 2 | 1.2 |
| 3 | 2.1 |